Entry 1:
This record from Alexandria describes crystalline LiYTm2 at its relaxed geometry. The functional is PBE.

a b c (Å): 3.5699 3.5699 8.7398
angles (deg): 90.00 90.00 90.00
Element x y z (fractional)
Li (0.0000, 0.0000, 0.0000)
Y (0.0000, 0.0000, 0.5000)
Tm (0.5000, 0.5000, 0.2193)
Tm (0.5000, 0.5000, 0.7807)

SG: P4/mmm (123)
Energy relative to the elements, eV per atom: 0.076
Final energy, eV/f.u.: -17.0
Relative energy among the computed polymorphs, eV/atom: 0.0000



Entry 2:
This record from Alexandria describes crystalline LiYTmZn at its relaxed geometry. The functional is PBE.

a b c (Å): 5.0777 5.0777 5.0777
angles (deg): 60.00 60.00 60.00
Element x y z (fractional)
Li (0.0000, 0.0000, 0.0000)
Y (0.7500, 0.7500, 0.7500)
Tm (0.2500, 0.2500, 0.2500)
Zn (0.5000, 0.5000, 0.5000)

SG: F-43m (216)
Energy relative to the elements, eV per atom: -0.125
Final energy, eV/f.u.: -14.6
Relative energy among the computed polymorphs, eV/atom: 0.0021



Entry 3:
This record from Alexandria describes crystalline LiYTmZn at its relaxed geometry. The functional is PBE.

a b c (Å): 3.5967 3.5967 7.3346
angles (deg): 90.00 90.00 90.00
Element x y z (fractional)
Li (0.0000, 0.0000, 0.0000)
Y (0.5000, 0.5000, 0.7261)
Tm (0.5000, 0.5000, 0.2614)
Zn (0.0000, 0.0000, 0.4868)

SG: P4mm (99)
Energy relative to the elements, eV per atom: -0.128
Final energy, eV/f.u.: -14.6
Relative energy among the computed polymorphs, eV/atom: 0.0000



Entry 4:
This record from Alexandria describes crystalline LiTmZn4 at its relaxed geometry. The functional is PBE.

a b c (Å): 5.2856 5.2856 5.2856
angles (deg): 60.00 60.00 60.00
Element x y z (fractional)
Li (0.0000, 0.0000, 0.0000)
Tm (0.7500, 0.7500, 0.7500)
Zn (0.3746, 0.3746, 0.3746)
Zn (0.3746, 0.3746, 0.8762)
Zn (0.3746, 0.8762, 0.3746)
Zn (0.8762, 0.3746, 0.3746)

SG: F-43m (216)
Energy relative to the elements, eV per atom: -0.237
Final energy, eV/f.u.: -12.9
Relative energy among the computed polymorphs, eV/atom: 0.0345



Entry 5:
This record from Alexandria describes crystalline LiTm2Zn7 at its relaxed geometry. The functional is PBE.

a b c (Å): 4.0258 4.0258 11.1122
angles (deg): 90.00 90.00 90.00
Element x y z (fractional)
Li (0.0000, 0.0000, 0.0000)
Tm (0.0000, 0.5000, 0.7407)
Tm (0.5000, 0.0000, 0.2593)
Zn (0.0000, 0.0000, 0.5000)
Zn (0.0000, 0.5000, 0.1424)
Zn (0.0000, 0.5000, 0.3614)
Zn (0.5000, 0.0000, 0.6386)
Zn (0.5000, 0.0000, 0.8576)
Zn (0.5000, 0.5000, 0.0000)
Zn (0.5000, 0.5000, 0.5000)

SG: P-4m2 (115)
Energy relative to the elements, eV per atom: -0.254
Final energy, eV/f.u.: -22.3



Entry 6:
This record from Alexandria describes crystalline Li2TmZn at its relaxed geometry. The functional is PBE.

a b c (Å): 4.7024 4.7024 4.7024
angles (deg): 60.00 60.00 60.00
Element x y z (fractional)
Li (0.2500, 0.2500, 0.2500)
Li (0.7500, 0.7500, 0.7500)
Tm (0.0000, 0.0000, 0.0000)
Zn (0.5000, 0.5000, 0.5000)

SG: Fm-3m (225)
Energy relative to the elements, eV per atom: 0.022
Final energy, eV/f.u.: -9.5
Relative energy among the computed polymorphs, eV/atom: 0.0000



Entry 7:
This record from Alexandria describes crystalline LiTmZn17 at its relaxed geometry. The functional is PBE.

a b c (Å): 6.7666 6.7666 6.7666
angles (deg): 82.61 82.61 82.61
Element x y z (fractional)
Li (0.0000, 0.0000, 0.0000)
Tm (0.3064, 0.3064, 0.3064)
Zn (0.1473, 0.6356, 0.6356)
Zn (0.2899, 0.2899, 0.8081)
Zn (0.2899, 0.8081, 0.2899)
Zn (0.3362, 0.6469, 0.9437)
Zn (0.3362, 0.9437, 0.6469)
Zn (0.4827, 0.9942, 0.9942)
Zn (0.5443, 0.5443, 0.5443)
Zn (0.6356, 0.1473, 0.6356)
Zn (0.6356, 0.6356, 0.1473)
Zn (0.6469, 0.3362, 0.9437)
Zn (0.6469, 0.9437, 0.3362)
Zn (0.7501, 0.7501, 0.7501)
Zn (0.8081, 0.2899, 0.2899)
Zn (0.9437, 0.3362, 0.6469)
Zn (0.9437, 0.6469, 0.3362)
Zn (0.9942, 0.4827, 0.9942)
Zn (0.9942, 0.9942, 0.4827)

SG: R3m (160)
Energy relative to the elements, eV per atom: -0.126
Final energy, eV/f.u.: -30.4



Entry 8:
This record from Alexandria describes crystalline LiTm4Zn2 at its relaxed geometry. The functional is PBE.

a b c (Å): 8.4630 8.4630 8.4630
angles (deg): 34.14 34.14 34.14
Element x y z (fractional)
Li (0.0000, 0.0000, 0.0000)
Tm (0.1302, 0.1302, 0.1302)
Tm (0.3824, 0.3824, 0.3824)
Tm (0.6176, 0.6176, 0.6176)
Tm (0.8698, 0.8698, 0.8698)
Zn (0.2556, 0.2556, 0.2556)
Zn (0.7444, 0.7444, 0.7444)

SG: R-3m (166)
Energy relative to the elements, eV per atom: -0.073
Final energy, eV/f.u.: -22.9



Entry 9:
This record from Alexandria describes crystalline LiTm7Zn4 at its relaxed geometry. The functional is PBE.

a b c (Å): 7.3786 7.3786 9.2417
angles (deg): 119.25 119.25 42.48
Element x y z (fractional)
Li (0.0000, 0.0000, 0.0000)
Tm (0.0782, 0.0782, 0.4189)
Tm (0.1923, 0.1923, 0.8771)
Tm (0.2669, 0.2669, 0.3094)
Tm (0.5000, 0.5000, 0.0000)
Tm (0.7331, 0.7331, 0.6906)
Tm (0.8077, 0.8077, 0.1229)
Tm (0.9218, 0.9218, 0.5811)
Zn (0.3218, 0.3218, 0.6596)
Zn (0.4656, 0.4656, 0.2941)
Zn (0.5344, 0.5344, 0.7059)
Zn (0.6782, 0.6782, 0.3404)

SG: C2/m (12)
Energy relative to the elements, eV per atom: -0.034
Final energy, eV/f.u.: -38.7



Entry 10:
This record from Alexandria describes crystalline LiTm2Zn3 at its relaxed geometry. The functional is PBE.

a b c (Å): 9.0622 8.5484 5.6367
angles (deg): 76.36 66.45 37.19
Element x y z (fractional)
Li (0.1667, 0.1667, 0.8333)
Li (0.8333, 0.8333, 0.1667)
Tm (0.2500, 0.2500, 0.2500)
Tm (0.2517, 0.7483, 0.7483)
Tm (0.7483, 0.2517, 0.2517)
Tm (0.7500, 0.7500, 0.7500)
Zn (0.1666, 0.6665, 0.3335)
Zn (0.3331, 0.3331, 0.6669)
Zn (0.3335, 0.8334, 0.1666)
Zn (0.6665, 0.1666, 0.8334)
Zn (0.6669, 0.6669, 0.3331)
Zn (0.8334, 0.3335, 0.6665)

SG: Fmmm (69)
Energy relative to the elements, eV per atom: -0.235
Final energy, eV/f.u.: -16.1
Relative energy among the computed polymorphs, eV/atom: 0.0370



Entry 11:
This record from Alexandria describes crystalline LiTmZn3 at its relaxed geometry. The functional is PBE.

a b c (Å): 11.3344 11.3344 4.2074
angles (deg): 100.48 100.48 19.76
Element x y z (fractional)
Li (0.1419, 0.1419, 0.3922)
Li (0.8581, 0.8581, 0.6078)
Tm (0.4116, 0.4116, 0.1613)
Tm (0.5884, 0.5884, 0.8387)
Zn (0.0296, 0.0296, 0.2792)
Zn (0.2053, 0.2053, 0.9545)
Zn (0.2904, 0.2904, 0.5394)
Zn (0.7096, 0.7096, 0.4606)
Zn (0.7947, 0.7947, 0.0455)
Zn (0.9704, 0.9704, 0.7208)

SG: C2/m (12)
Energy relative to the elements, eV per atom: -0.148
Final energy, eV/f.u.: -10.9



Entry 12:
This record from Alexandria describes crystalline Li2TmZn at its relaxed geometry. The functional is PBE.

a b c (Å): 3.4167 3.4167 6.7520
angles (deg): 90.00 90.00 90.00
Element x y z (fractional)
Li (0.0000, 0.0000, 0.1929)
Li (0.0000, 0.0000, 0.8071)
Tm (0.5000, 0.5000, 0.5000)
Zn (0.5000, 0.5000, 0.0000)

SG: P4/mmm (123)
Energy relative to the elements, eV per atom: 0.025
Final energy, eV/f.u.: -9.5
Relative energy among the computed polymorphs, eV/atom: 0.0029